Entry 1:
First-principles (GGA-PBE) data for a geometry-optimized Cs3Ga5Cl12 structure, as listed in Alexandria via LeMat-Bulk.

Computed properties:
- Space group: Ia-3d (230)

Cell lengths 15.4172, 15.4172, 15.4172 Å; angles 109.47, 109.47, 109.47 degrees
Last column: nearest neighbours and their distance in Å.
Fractional coordinates of all 80 atoms:
Cs (0.7500, 0.3750, 0.1250)  8 Cl 3.55-3.77
Cs (0.8750, 0.7500, 0.1250)  8 Cl 3.55-3.77
Cs (0.3750, 0.7500, 0.6250)  8 Cl 3.55-3.77
Cs (0.2500, 0.1250, 0.3750)  8 Cl 3.55-3.77
Cs (0.8750, 0.1250, 0.2500)  8 Cl 3.55-3.77
Cs (0.3750, 0.6250, 0.2500)  8 Cl 3.55-3.77
Cs (0.6250, 0.3750, 0.7500)  8 Cl 3.55-3.77
Cs (0.1250, 0.8750, 0.7500)  8 Cl 3.55-3.77
Cs (0.7500, 0.8750, 0.6250)  8 Cl 3.55-3.77
Cs (0.6250, 0.2500, 0.3750)  8 Cl 3.55-3.77
Cs (0.1250, 0.2500, 0.8750)  8 Cl 3.55-3.77
Cs (0.2500, 0.6250, 0.8750)  8 Cl 3.55-3.77
Ga (0.1250, 0.3750, 0.2500)  4 Cl 2.35
Ga (0.0000, 0.5000, 0.0000)  6 Cl 3.00
Ga (0.0000, 0.0000, 0.0000)  6 Cl 3.00
Ga (0.3750, 0.2500, 0.1250)  4 Cl 2.35
Ga (0.5000, 0.0000, 0.5000)  6 Cl 3.00
Ga (0.5000, 0.5000, 0.0000)  6 Cl 3.00
Ga (0.1250, 0.7500, 0.3750)  4 Cl 2.35
Ga (0.7500, 0.1250, 0.8750)  4 Cl 2.35
Ga (0.7500, 0.6250, 0.3750)  4 Cl 2.35
Ga (0.3750, 0.1250, 0.7500)  4 Cl 2.35
Ga (0.6250, 0.8750, 0.2500)  4 Cl 2.35
Ga (0.5000, 0.5000, 0.5000)  6 Cl 3.00
Ga (0.5000, 0.0000, 0.0000)  6 Cl 3.00
Ga (0.0000, 0.0000, 0.5000)  6 Cl 3.00
Ga (0.2500, 0.3750, 0.6250)  4 Cl 2.35
Ga (0.2500, 0.8750, 0.1250)  4 Cl 2.35
Ga (0.0000, 0.5000, 0.5000)  6 Cl 3.00
Ga (0.8750, 0.2500, 0.6250)  4 Cl 2.35
Ga (0.6250, 0.7500, 0.8750)  4 Cl 2.35
Ga (0.8750, 0.6250, 0.7500)  4 Cl 2.35
Cl (0.7011, 0.1110, 0.0005)  1 Ga 2.35
Cl (0.2994, 0.5005, 0.3895)  1 Ga 2.35
Cl (0.9995, 0.3890, 0.2989)  1 Ga 2.35
Cl (0.5005, 0.2011, 0.1110)  1 Ga 2.35
Cl (0.5901, 0.7011, 0.7006)  1 Ga 2.35
Cl (0.9995, 0.6105, 0.2006)  1 Ga 2.35
Cl (0.2994, 0.7989, 0.4099)  1 Ga 2.35
Cl (0.1105, 0.9099, 0.1110)  1 Ga 2.35
Cl (0.6105, 0.9995, 0.7006)  1 Ga 2.35
Cl (0.7011, 0.5901, 0.2006)  1 Ga 2.35
Cl (0.7989, 0.4995, 0.3890)  1 Ga 2.35
Cl (0.7994, 0.8895, 0.0005)  1 Ga 2.35
Cl (0.1110, 0.7011, 0.5005)  1 Ga 2.35
Cl (0.3890, 0.3895, 0.0901)  1 Ga 2.35
Cl (0.0901, 0.8895, 0.3890)  1 Ga 2.35
Cl (0.4099, 0.1110, 0.6105)  1 Ga 2.35
Cl (0.0901, 0.2006, 0.2011)  1 Ga 2.35
Cl (0.4995, 0.7006, 0.1105)  1 Ga 2.35
Cl (0.7994, 0.9099, 0.2989)  1 Ga 2.35
Cl (0.1110, 0.4099, 0.1105)  1 Ga 2.35
Cl (0.3890, 0.9995, 0.7989)  1 Ga 2.35
Cl (0.6105, 0.6110, 0.4099)  1 Ga 2.35
Cl (0.8895, 0.7994, 0.5005)  1 Ga 2.35
Cl (0.7989, 0.2994, 0.9099)  1 Ga 2.35
Cl (0.3895, 0.3890, 0.5901)  1 Ga 2.35
Cl (0.1105, 0.2006, 0.4995)  1 Ga 2.35
Cl (0.2011, 0.7006, 0.0901)  1 Ga 2.35
Cl (0.2006, 0.0901, 0.7011)  1 Ga 2.35
Cl (0.6110, 0.0005, 0.2011)  1 Ga 2.35
Cl (0.8890, 0.5901, 0.8895)  1 Ga 2.35
Cl (0.5005, 0.2994, 0.8895)  1 Ga 2.35
Cl (0.5901, 0.8890, 0.3895)  1 Ga 2.35
Cl (0.9099, 0.7994, 0.7989)  1 Ga 2.35
Cl (0.9099, 0.1105, 0.6110)  1 Ga 2.35
Cl (0.8890, 0.2989, 0.4995)  1 Ga 2.35
Cl (0.2006, 0.1105, 0.9995)  1 Ga 2.35
Cl (0.6110, 0.6105, 0.9099)  1 Ga 2.35
Cl (0.3895, 0.0005, 0.2994)  1 Ga 2.35
Cl (0.2989, 0.4099, 0.7994)  1 Ga 2.35
Cl (0.2011, 0.5005, 0.6110)  1 Ga 2.35
Cl (0.8895, 0.0901, 0.8890)  1 Ga 2.35
Cl (0.7006, 0.2011, 0.5901)  1 Ga 2.35
Cl (0.4995, 0.7989, 0.8890)  1 Ga 2.35
Cl (0.0005, 0.3895, 0.7994)  1 Ga 2.35
Cl (0.4099, 0.2989, 0.2994)  1 Ga 2.35
Cl (0.0005, 0.6110, 0.7011)  1 Ga 2.35
Cl (0.7006, 0.4995, 0.6105)  1 Ga 2.35
Cl (0.2989, 0.8890, 0.9995)  1 Ga 2.35

Entry 2:
First-principles (GGA-PBE) data for a geometry-optimized CrMo2Rh structure, as listed in Alexandria via LeMat-Bulk.

Computed properties:
- Offset from the most stable computed form: 9 meV per atom
- Space group: Immm (71)

Cell lengths 4.9712, 4.9712, 4.9712 Å; angles 141.29, 129.48, 65.40 degrees
Last column: nearest neighbours and their distance in Å.
Fractional coordinates of all 4 atoms:
Cr (0.2500, 0.7500, 0.5000)  4 Mo 2.58, 4 Rh 2.69
Mo (0.0125, 0.0125, 0.0000)  2 Cr 2.58, 4 Mo 2.69, 2 Rh 2.75
Mo (0.4875, 0.4875, 0.0000)  2 Cr 2.58, 4 Mo 2.69, 2 Rh 2.75
Rh (0.7500, 0.2500, 0.5000)  4 Cr 2.69, 8 Mo 2.75-2.91

Entry 3:
First-principles (GGA-PBE) data for a geometry-optimized TcAs4 structure, as listed in Alexandria via LeMat-Bulk.

Computed properties:
- Offset from the most stable computed form: 328 meV per atom
- Space group: Pm-3m (221)

Cell lengths 4.7908, 4.7908, 4.7908 Å; angles 90.00, 90.00, 90.00 degrees
Last column: nearest neighbours and their distance in Å.
Fractional coordinates of all 5 atoms:
As (0.0000, 0.0000, 0.0000)  12 As 3.39
As (0.5000, 0.0000, 0.5000)  2 Tc 2.40
As (0.0000, 0.5000, 0.5000)  2 Tc 2.40
As (0.5000, 0.5000, 0.0000)  2 Tc 2.40
Tc (0.5000, 0.5000, 0.5000)  6 As 2.40

Entry 4:
First-principles (GGA-PBE) data for a geometry-optimized TbZnHg structure, as listed in Alexandria via LeMat-Bulk.

Computed properties:
- Space group: P-6m2 (187)

Cell lengths 3.5369, 4.6912, 4.6912 Å; angles 120.00, 90.00, 90.00 degrees
Last column: nearest neighbours and their distance in Å.
Fractional coordinates of all 3 atoms:
Zn (0.1667, 0.0000, 0.0000)  3 Hg 2.71
Tb (0.6669, 0.6667, 0.3333)  6 Hg 3.23-3.24, 6 Zn 3.23-3.24, 2 Tb 3.54
Hg (0.1663, 0.3333, 0.6667)  3 Zn 2.71

Across the entries above, DFT total energy takes the values -3.21; -9.57; -5.22; -2.47 eV per atom, respectively.